Compound: CaPr2In2
Source: the Alexandria database
Functional: PBE
Structure: optimized geometry Values from VASP.

Summary:
* excess energy over the best structure of this formula in the dataset: 0.00 kcal/mol of atoms
* formation enthalpy at 0 K: -41.13 kJ/mol of atoms

Cell and atoms, written as Quantum ESPRESSO input:
```
&SYSTEM
  ibrav = 0, nat = 10, ntyp = 3
/
ATOMIC_SPECIES
Ca 40.08 Ca.upf
Pr 140.91 Pr.upf
In 114.82 In.upf
CELL_PARAMETERS angstrom
-2.209 1.574 4.839
-7.685 1.062 -3.851
-0.122 -6.323 2.001
ATOMIC_POSITIONS angstrom
Ca -7.451 0.396 1.241
Ca -2.564 -4.083 1.748
Pr -4.246 -0.994 -0.024
Pr -9.254 -2.837 1.471
Pr -0.761 -0.849 1.518
Pr -5.769 -2.693 3.013
In -5.776 -4.697 0.482
In -2.976 -1.279 3.827
In -4.239 1.011 2.507
In -7.039 -2.407 -0.838
```